one:
GGA-PBE PmTm4Sc4, optimized geometry; magnetization = 0.00 μB/f.u.; space-group type = I4/mmm
1.0
-5.105 5.105 2.411
5.105 -5.105 2.411
5.105 5.105 -2.411
Pm Tm Sc
1 4 4
direct
0.000 0.000 0.000
0.331 0.331 0.662
0.331 0.669 0.000
0.669 0.331 0.000
0.669 0.669 0.338
0.000 0.340 0.340
0.000 0.660 0.660
0.340 0.000 0.340
0.660 0.000 0.660

***

two:
GGA-PBE PmTm4Sc4, optimized geometry; magnetization = 0.00 μB/f.u.; space-group type = P4_2/nmc
1.0
6.733 0.000 0.000
0.000 6.733 0.000
0.000 0.000 11.740
Pm Tm Sc
2 8 8
direct
0.250 0.750 0.250
0.750 0.250 0.750
0.008 0.250 0.024
0.250 0.008 0.524
0.250 0.492 0.524
0.492 0.250 0.024
0.508 0.750 0.976
0.750 0.508 0.476
0.750 0.992 0.476
0.992 0.750 0.976
0.032 0.250 0.307
0.250 0.032 0.807
0.250 0.468 0.807
0.468 0.250 0.307
0.532 0.750 0.693
0.750 0.532 0.193
0.750 0.968 0.193
0.968 0.750 0.693

***

Which one sits at the top of the stability order? one does.

***

one:
GGA-PBE PmTm7Sc2, optimized geometry; magnetization = 0.00 μB/f.u.; space-group type = P-1
1.0
5.074 0.000 0.000
-1.028 7.944 0.000
-1.606 -4.001 7.612
Pm Tm Sc
1 7 2
direct
0.000 0.000 0.000
0.000 0.500 0.500
0.077 0.209 0.695
0.295 0.657 0.002
0.489 0.118 0.372
0.511 0.882 0.628
0.705 0.343 0.998
0.923 0.791 0.305
0.370 0.480 0.272
0.630 0.520 0.728

***

two:
GGA-PBE PmTm7Sc2, optimized geometry; magnetization = 0.00 μB/f.u.; space-group type = Cmmm
1.0
4.341 -7.515 0.000
4.341 7.515 0.000
0.000 0.000 5.532
Pm Tm Sc
1 7 2
direct
0.000 0.000 0.000
0.059 0.301 0.500
0.238 0.762 0.000
0.301 0.059 0.500
0.500 0.500 0.500
0.699 0.941 0.500
0.762 0.238 0.000
0.941 0.699 0.500
0.296 0.704 0.500
0.704 0.296 0.500

***

Which one sits at the top of the stability order? one does.

***

one:
GGA-PBE Pm2Tm4Sc3, optimized geometry; magnetization = 0.01 μB/f.u.; space-group type = P3m1
1.0
3.483 0.000 0.000
-1.741 3.016 0.000
0.000 0.000 25.241
Pm Tm Sc
2 4 3
direct
0.000 0.000 0.000
0.000 0.000 0.217
0.000 0.000 0.355
0.000 0.000 0.563
0.333 0.667 0.674
0.333 0.667 0.883
0.000 0.000 0.779
0.333 0.667 0.110
0.333 0.667 0.458

***

two:
GGA-PBE Pm2Tm4Sc3, optimized geometry; magnetization = 0.00 μB/f.u.; space-group type = C2/c
1.0
7.760 -5.632 0.000
7.760 5.632 0.000
-0.562 0.000 5.972
Pm Tm Sc
4 8 6
direct
0.027 0.736 0.677
0.264 0.973 0.823
0.736 0.027 0.177
0.973 0.264 0.323
0.078 0.355 0.844
0.312 0.589 0.990
0.355 0.078 0.344
0.411 0.688 0.510
0.589 0.312 0.490
0.645 0.922 0.656
0.688 0.411 0.010
0.922 0.645 0.156
0.102 0.898 0.250
0.235 0.434 0.411
0.434 0.235 0.911
0.566 0.765 0.089
0.765 0.566 0.589
0.898 0.102 0.750

***

Which one sits at the top of the stability order? one does.

***

one:
GGA-PBE Pm3TmSc, optimized geometry; magnetization = 0.00 μB/f.u.; space-group type = P-1
1.0
3.510 0.000 0.000
1.752 8.153 0.000
1.754 3.095 10.987
Pm Tm Sc
6 2 2
direct
0.072 0.303 0.050
0.290 0.076 0.846
0.329 0.292 0.550
0.671 0.708 0.450
0.710 0.924 0.154
0.928 0.697 0.950
0.375 0.509 0.240
0.625 0.491 0.760
0.018 0.110 0.353
0.982 0.890 0.647

***

two:
GGA-PBE Pm3TmSc, optimized geometry; magnetization = 0.00 μB/f.u.; space-group type = Cmcm
1.0
1.756 -8.679 0.000
1.756 8.679 0.000
0.000 0.000 10.641
Pm Tm Sc
6 2 2
direct
0.000 0.000 0.000
0.000 0.000 0.500
0.327 0.673 0.560
0.327 0.673 0.940
0.673 0.327 0.060
0.673 0.327 0.440
0.146 0.854 0.750
0.854 0.146 0.250
0.478 0.522 0.750
0.522 0.478 0.250

***

Which one sits at the top of the stability order? one does.

***

one:
GGA-PBE PmTm8Sc6, optimized geometry; magnetization = 0.00 μB/f.u.; space-group type = R-3
1.0
4.510 2.604 6.066
-4.510 2.604 6.066
0.000 -5.208 6.066
Pm Tm Sc
1 8 6
direct
0.000 0.000 0.000
0.075 0.629 0.776
0.224 0.925 0.371
0.371 0.224 0.925
0.420 0.420 0.420
0.580 0.580 0.580
0.629 0.776 0.075
0.776 0.075 0.629
0.925 0.371 0.224
0.077 0.283 0.583
0.283 0.583 0.077
0.417 0.923 0.717
0.583 0.077 0.283
0.717 0.417 0.923
0.923 0.717 0.417

***

two:
GGA-PBE PmTm8Sc6, optimized geometry; magnetization = 3.33 μB/f.u.; space-group type = R-3
1.0
4.197 2.423 7.051
-4.197 2.423 7.051
0.000 -4.846 7.051
Pm Tm Sc
1 8 6
direct
0.000 0.000 0.000
0.123 0.660 0.813
0.187 0.877 0.340
0.340 0.187 0.877
0.416 0.416 0.416
0.584 0.584 0.584
0.660 0.813 0.123
0.813 0.123 0.660
0.877 0.340 0.187
0.067 0.516 0.283
0.283 0.067 0.516
0.484 0.717 0.933
0.516 0.283 0.067
0.717 0.933 0.484
0.933 0.484 0.717

***

Which one sits at the top of the stability order? two does.

***

one:
GGA-PBE Pm4Tm5Sc, optimized geometry; magnetization = 0.00 μB/f.u.; space-group type = I4mm
1.0
-5.325 5.325 2.871
5.325 -5.325 2.871
5.325 5.325 -2.871
Pm Tm Sc
4 5 1
direct
0.000 0.321 0.321
0.000 0.679 0.679
0.321 0.000 0.321
0.679 0.000 0.679
0.231 0.231 0.000
0.324 0.324 0.627
0.324 0.697 0.000
0.697 0.324 0.000
0.697 0.697 0.373
0.755 0.755 0.000

***

two:
GGA-PBE Pm4Tm5Sc, optimized geometry; magnetization = 0.00 μB/f.u.; space-group type = P2/m
1.0
8.649 0.000 0.000
0.000 3.550 0.000
-2.720 0.000 10.120
Pm Tm Sc
4 5 1
direct
0.101 0.000 0.296
0.296 0.000 0.901
0.704 0.000 0.099
0.899 0.000 0.704
0.201 0.500 0.599
0.403 0.500 0.203
0.500 0.000 0.500
0.597 0.500 0.797
0.799 0.500 0.401
0.000 0.500 0.000

***

Which one sits at the top of the stability order? two does.

***

one:
GGA-PBE Pm3TmSc2, optimized geometry; magnetization = 0.00 μB/f.u.; space-group type = C2/c
1.0
8.123 -3.394 0.000
8.123 3.394 0.000
-1.450 0.000 6.713
Pm Tm Sc
6 2 4
direct
0.168 0.191 0.593
0.191 0.168 0.093
0.239 0.761 0.750
0.761 0.239 0.250
0.809 0.832 0.907
0.832 0.809 0.407
0.236 0.764 0.250
0.764 0.236 0.750
0.355 0.372 0.935
0.372 0.355 0.435
0.628 0.645 0.565
0.645 0.628 0.065

***

two:
GGA-PBE Pm3TmSc2, optimized geometry; magnetization = 0.00 μB/f.u.; space-group type = Cmcm
1.0
7.250 -4.848 0.000
7.250 4.848 0.000
0.000 0.000 5.507
Pm Tm Sc
6 2 4
direct
0.091 0.909 0.750
0.112 0.380 0.250
0.380 0.112 0.750
0.620 0.888 0.250
0.888 0.620 0.750
0.909 0.091 0.250
0.281 0.719 0.250
0.719 0.281 0.750
0.302 0.491 0.750
0.491 0.302 0.250
0.509 0.698 0.750
0.698 0.509 0.250

***

Which one sits at the top of the stability order? one does.

***

one:
GGA-PBE Pm3Tm4Sc2, optimized geometry; magnetization = 0.00 μB/f.u.; space-group type = C2/c
1.0
7.974 -5.704 0.000
7.974 5.704 0.000
-0.727 0.000 5.959
Pm Tm Sc
6 8 4
direct
0.130 0.870 0.750
0.186 0.476 0.920
0.476 0.186 0.420
0.524 0.814 0.580
0.814 0.524 0.080
0.870 0.130 0.250
0.108 0.332 0.383
0.317 0.562 0.463
0.332 0.108 0.883
0.438 0.683 0.037
0.562 0.317 0.963
0.668 0.892 0.117
0.683 0.438 0.537
0.892 0.668 0.617
0.020 0.773 0.200
0.227 0.980 0.300
0.773 0.020 0.700
0.980 0.227 0.800

***

two:
GGA-PBE Pm3Tm4Sc2, optimized geometry; magnetization = 0.00 μB/f.u.; space-group type = P-1
1.0
6.162 0.000 0.000
-0.019 9.022 0.000
-3.065 -3.618 9.845
Pm Tm Sc
6 8 4
direct
0.055 0.306 0.441
0.280 0.030 0.217
0.389 0.638 0.112
0.611 0.362 0.888
0.720 0.970 0.783
0.945 0.694 0.559
0.056 0.477 0.779
0.163 0.084 0.667
0.173 0.245 0.003
0.389 0.802 0.446
0.611 0.198 0.554
0.827 0.755 0.997
0.837 0.916 0.333
0.944 0.523 0.221
0.286 0.860 0.888
0.498 0.582 0.665
0.502 0.418 0.335
0.714 0.140 0.112

***

Which one sits at the top of the stability order? two does.

***

one:
GGA-PBE Pm7Tm4Sc, optimized geometry; magnetization = 0.00 μB/f.u.; space-group type = P-3m1
1.0
3.571 0.000 0.000
-1.786 3.093 0.000
0.000 0.000 34.685
Pm Tm Sc
7 4 1
direct
0.000 0.000 0.000
0.000 0.000 0.254
0.000 0.000 0.746
0.333 0.667 0.167
0.333 0.667 0.421
0.667 0.333 0.579
0.667 0.333 0.833
0.333 0.667 0.662
0.333 0.667 0.917
0.667 0.333 0.083
0.667 0.333 0.338
0.000 0.000 0.500

***

two:
GGA-PBE Pm7Tm4Sc, optimized geometry; magnetization = 0.00 μB/f.u.; space-group type = P-1
1.0
6.214 0.000 0.000
0.013 7.191 0.000
2.094 0.006 8.618
Pm Tm Sc
7 4 1
direct
0.000 0.000 0.000
0.227 0.001 0.336
0.278 0.255 0.667
0.498 0.744 0.999
0.502 0.256 0.001
0.722 0.745 0.333
0.773 0.999 0.664
0.217 0.501 0.334
0.275 0.742 0.670
0.725 0.258 0.330
0.783 0.499 0.666
0.000 0.500 0.000

***

Which one sits at the top of the stability order? two does.